# 1
Material: Na5Hg4Sb
Method: DFT, PBE
State: relaxed

Calculated values
Raw formation energy   -0.25 eV/atom
Total moment   0.00 μB per formula unit
Relative energy among the computed polymorphs   0.455 kcal/mol of atoms
SG   P4/mmm (123)

abc: 3.665 3.665 19.495
angles: 90.00 90.00 90.00
Fractional positions:
1 Na 0.000 0.000 0.000
2 Na 0.000 0.000 0.195
3 Na 0.000 0.000 0.398
4 Na 0.000 0.000 0.602
5 Na 0.000 0.000 0.805
6 Hg 0.500 0.500 0.097
7 Hg 0.500 0.500 0.292
8 Hg 0.500 0.500 0.708
9 Hg 0.500 0.500 0.903
10 Sb 0.500 0.500 0.500

# 2
Material: Na8Hg6Sb
Method: DFT, PBE
State: relaxed

Calculated values
Raw formation energy   -0.19 eV/atom
Total moment   0.00 μB per formula unit
SG   R-3 (148)

abc: 8.220 8.220 8.220
angles: 66.16 66.16 66.16
Fractional positions:
1 Na 0.082 0.379 0.700
2 Na 0.165 0.165 0.165
3 Na 0.300 0.918 0.621
4 Na 0.379 0.700 0.082
5 Na 0.621 0.300 0.918
6 Na 0.700 0.082 0.379
7 Na 0.835 0.835 0.835
8 Na 0.918 0.621 0.300
9 Hg 0.100 0.789 0.451
10 Hg 0.211 0.549 0.900
11 Hg 0.451 0.100 0.789
12 Hg 0.549 0.900 0.211
13 Hg 0.789 0.451 0.100
14 Hg 0.900 0.211 0.549
15 Sb 0.500 0.500 0.500

# 3
Material: Na2Hg3Sb
Method: DFT, PBE
State: relaxed

Calculated values
Raw formation energy   -0.23 eV/atom
Total moment   0.00 μB per formula unit
SG   Fmmm (69)

abc: 10.039 9.456 6.278
angles: 76.33 66.24 37.42
Fractional positions:
1 Na 0.244 0.756 0.756
2 Na 0.250 0.250 0.250
3 Na 0.750 0.750 0.750
4 Na 0.756 0.244 0.244
5 Hg 0.162 0.670 0.330
6 Hg 0.169 0.169 0.831
7 Hg 0.330 0.838 0.162
8 Hg 0.670 0.162 0.838
9 Hg 0.831 0.831 0.169
10 Hg 0.838 0.330 0.670
11 Sb 0.338 0.338 0.662
12 Sb 0.662 0.662 0.338

# 4
Material: NaHgSb
Method: DFT, PBE
State: relaxed

Calculated values
Raw formation energy   -0.20 eV/atom
Total moment   0.00 μB per formula unit
SG   P3m1 (156)

abc: 5.185 5.185 3.420
angles: 90.00 90.00 120.00
Fractional positions:
1 Na 0.000 0.000 0.000
2 Hg 0.333 0.667 0.502
3 Sb 0.667 0.333 0.499

# 5
Material: Na3HgSb
Method: DFT, PBE
State: relaxed

Calculated values
Raw formation energy   -0.34 eV/atom
Total moment   0.00 μB per formula unit
Relative energy among the computed polymorphs   0.441 kcal/mol of atoms
SG   P-1 (2)

abc: 5.766 5.799 8.632
angles: 89.97 70.50 89.92
Fractional positions:
1 Na 0.056 0.250 0.390
2 Na 0.248 0.250 0.003
3 Na 0.441 0.250 0.620
4 Na 0.559 0.750 0.380
5 Na 0.752 0.750 0.997
6 Na 0.944 0.750 0.610
7 Hg 0.352 0.750 0.793
8 Hg 0.648 0.250 0.207
9 Sb 0.145 0.750 0.209
10 Sb 0.855 0.250 0.791

# 6
Material: NaHgSb
Method: DFT, PBE
State: relaxed

Calculated values
Raw formation energy   -0.21 eV/atom
Total moment   0.00 μB per formula unit
SG   Fddd (70)

abc: 8.893 8.816 7.878
angles: 64.09 63.09 52.83
Fractional positions:
1 Na 0.015 0.015 0.735
2 Na 0.265 0.265 0.985
3 Na 0.735 0.735 0.015
4 Na 0.985 0.985 0.265
5 Hg 0.000 0.500 0.500
6 Hg 0.500 0.000 0.500
7 Hg 0.500 0.500 0.000
8 Hg 0.500 0.500 0.500
9 Sb 0.107 0.643 0.107
10 Sb 0.357 0.893 0.357
11 Sb 0.643 0.107 0.643
12 Sb 0.893 0.357 0.893

# 7
Material: Na4Hg7Sb
Method: DFT, PBE
State: relaxed

Calculated values
Raw formation energy   -0.18 eV/atom
Total moment   0.00 μB per formula unit
SG   P-1 (2)

abc: 6.007 6.405 8.753
angles: 89.59 86.82 78.47
Fractional positions:
1 Na 0.117 0.407 0.178
2 Na 0.209 0.888 0.339
3 Na 0.791 0.112 0.661
4 Na 0.883 0.593 0.822
5 Hg 0.235 0.340 0.536
6 Hg 0.326 0.864 0.678
7 Hg 0.405 0.441 0.852
8 Hg 0.500 0.000 0.000
9 Hg 0.595 0.559 0.148
10 Hg 0.674 0.136 0.322
11 Hg 0.765 0.660 0.464
12 Sb 0.000 0.000 0.000

# 8
Material: Na3HgSb2
Method: DFT, PBE
State: relaxed

Calculated values
Raw formation energy   -0.25 eV/atom
Total moment   0.00 μB per formula unit
Relative energy among the computed polymorphs   0.000 kcal/mol of atoms
SG   P2_1/c (14)

abc: 9.101 9.382 10.268
angles: 90.00 123.76 90.00
Fractional positions:
1 Na 0.082 0.107 0.196
2 Na 0.082 0.393 0.696
3 Na 0.266 0.024 0.823
4 Na 0.266 0.476 0.323
5 Na 0.333 0.651 0.006
6 Na 0.333 0.849 0.506
7 Na 0.667 0.151 0.494
8 Na 0.667 0.349 0.994
9 Na 0.734 0.524 0.677
10 Na 0.734 0.976 0.177
11 Na 0.918 0.607 0.304
12 Na 0.918 0.893 0.804
13 Hg 0.310 0.239 0.576
14 Hg 0.310 0.261 0.076
15 Hg 0.690 0.739 0.924
16 Hg 0.690 0.761 0.424
17 Sb 0.078 0.733 0.636
18 Sb 0.078 0.767 0.136
19 Sb 0.399 0.561 0.708
20 Sb 0.399 0.939 0.208
21 Sb 0.601 0.061 0.792
22 Sb 0.601 0.439 0.292
23 Sb 0.922 0.233 0.864
24 Sb 0.922 0.267 0.364

# 9
Material: Na3Hg2Sb
Method: DFT, PBE
State: relaxed

Calculated values
Raw formation energy   -0.28 eV/atom
Total moment   0.00 μB per formula unit
Relative energy among the computed polymorphs   0.073 kcal/mol of atoms
SG   C2/m (12)

abc: 10.796 10.796 6.264
angles: 105.92 105.92 28.76
Fractional positions:
1 Na 0.039 0.039 0.281
2 Na 0.277 0.277 0.891
3 Na 0.373 0.373 0.419
4 Na 0.627 0.627 0.581
5 Na 0.723 0.723 0.109
6 Na 0.961 0.961 0.719
7 Hg 0.214 0.214 0.379
8 Hg 0.427 0.427 0.933
9 Hg 0.573 0.573 0.067
10 Hg 0.786 0.786 0.621
11 Sb 0.122 0.122 0.853
12 Sb 0.878 0.878 0.147

# 10
Material: Na2Hg4Sb
Method: DFT, PBE
State: relaxed

Calculated values
Raw formation energy   -0.13 eV/atom
Total moment   0.00 μB per formula unit
Relative energy among the computed polymorphs   0.000 kcal/mol of atoms
SG   Cmce (64)

abc: 6.835 6.835 10.665
angles: 90.00 90.00 52.62
Fractional positions:
1 Na 0.146 0.146 0.000
2 Na 0.354 0.354 0.500
3 Na 0.646 0.646 0.500
4 Na 0.854 0.854 0.000
5 Hg 0.003 0.497 0.750
6 Hg 0.212 0.788 0.763
7 Hg 0.288 0.712 0.263
8 Hg 0.497 0.003 0.250
9 Hg 0.503 0.997 0.750
10 Hg 0.712 0.288 0.737
11 Hg 0.788 0.212 0.237
12 Hg 0.997 0.503 0.250
13 Sb 0.000 0.000 0.500
14 Sb 0.500 0.500 0.000

# 11
Material: Na2Hg4Sb
Method: DFT, PBE
State: relaxed

Calculated values
Raw formation energy   -0.03 eV/atom
Total moment   0.00 μB per formula unit
Relative energy among the computed polymorphs   2.350 kcal/mol of atoms
SG   I4/mmm (139)

abc: 8.878 8.878 8.878
angles: 142.02 142.02 54.80
Fractional positions:
1 Na 0.107 0.107 0.000
2 Na 0.893 0.893 0.000
3 Hg 0.000 0.500 0.500
4 Hg 0.296 0.296 0.000
5 Hg 0.500 0.000 0.500
6 Hg 0.704 0.704 0.000
7 Sb 0.500 0.500 0.000

# 12
Material: NaHg3Sb
Method: DFT, PBE
State: relaxed

Calculated values
Raw formation energy   -0.10 eV/atom
Total moment   0.00 μB per formula unit
Relative energy among the computed polymorphs   0.189 kcal/mol of atoms
SG   P2_1/c (14)

abc: 8.904 7.152 9.968
angles: 90.00 115.71 90.00
Fractional positions:
1 Na 0.203 0.193 0.051
2 Na 0.203 0.307 0.551
3 Na 0.797 0.693 0.449
4 Na 0.797 0.807 0.949
5 Hg 0.062 0.551 0.239
6 Hg 0.062 0.949 0.739
7 Hg 0.393 0.588 0.822
8 Hg 0.393 0.912 0.322
9 Hg 0.431 0.147 0.878
10 Hg 0.431 0.353 0.378
11 Hg 0.569 0.647 0.622
12 Hg 0.569 0.853 0.122
13 Hg 0.607 0.088 0.678
14 Hg 0.607 0.412 0.178
15 Hg 0.938 0.051 0.261
16 Hg 0.938 0.449 0.761
17 Sb 0.164 0.693 0.980
18 Sb 0.164 0.807 0.480
19 Sb 0.836 0.193 0.520
20 Sb 0.836 0.307 0.020

The lowest raw formation energy belongs to which entry? Na3HgSb